# 1
Density functional theory data (PBE) for a relaxed ZrNi3N crystal.

Cell and atoms, written as POSCAR:
```
ZrNi3N
1.0
3.906 0.000 0.000
0.000 3.906 0.000
0.000 0.000 3.906
Zr Ni N
1 3 1
Direct
0.000 0.000 0.000 Zr
0.000 0.500 0.500 Ni
0.500 0.000 0.500 Ni
0.500 0.500 0.000 Ni
0.500 0.500 0.500 N
```

Relative energy among the computed polymorphs   0.000 kcal/mol of atoms
Energy relative to the elements, uncorrected   -0.13 eV/atom

---

# 2
Density functional theory data (PBE) for a relaxed ZrNi2N crystal.

Cell and atoms, written as POSCAR:
```
ZrNi2N
1.0
3.579 0.000 0.000
0.000 4.155 0.000
0.000 0.000 6.672
Zr Ni N
2 4 2
Direct
0.000 0.000 0.000 Zr
0.500 0.500 0.332 Zr
0.000 0.000 0.397 Ni
0.000 0.500 0.621 Ni
0.500 0.000 0.647 Ni
0.500 0.500 0.878 Ni
0.000 0.500 0.916 N
0.500 0.000 0.220 N
```

Energy relative to the elements, uncorrected   -0.54 eV/atom